# LaSc2Au

An optimized crystal structure of LaSc2Au (GGA-PBE, Alexandria).

Raw total energy in eV per atom: -5.5060
M_tot in μB/cell: 0.00
ΔE to the lowest computed polymorph in meV/atom: 82.5
ΔE_f in meV per atom: -289.0

Cell lengths 4.6052, 6.2804, 6.2804 Å; angles 34.76, 90.00, 90.00 degrees
Last column: nearest neighbours and their distance in Å.
Sites, in units of the cell vectors:
La  0.0000  0.0000  0.0000  3 Sc 3.19-3.37, 4 Au 3.20
Sc  0.0000  0.2661  0.2661  2 Au 2.81
Sc  0.5000  0.6715  0.6715  4 Sc 3.18, 3 Au 3.25-3.33
Au  0.5000  0.4005  0.4005  2 Sc 2.81



# La2ScAu

An optimized crystal structure of La2ScAu (GGA-PBE, Alexandria).

Raw total energy in eV per atom: -5.1896
M_tot in μB/cell: 0.00
ΔE to the lowest computed polymorph in meV/atom: 48.6
ΔE_f in meV per atom: -323.7

Cell lengths 3.8022, 4.9504, 6.4206 Å; angles 90.00, 107.14, 90.00 degrees
Last column: nearest neighbours and their distance in Å.
Sites, in units of the cell vectors:
La  0.0000  0.0000  0.0000  3 Au 3.32-3.42, 4 Sc 3.33
La  0.3139  0.5000  0.6279  3 Sc 3.29-3.45, 4 Au 3.32
Sc  0.5939  0.5000  0.1895  2 Au 2.92
Au  0.7205  0.0000  0.4428  2 Sc 2.92



# LaSc3Au

An optimized crystal structure of LaSc3Au (GGA-PBE, Alexandria).

Raw total energy in eV per atom: -4.5351
M_tot in μB/cell: 0.00
ΔE to the lowest computed polymorph in meV/atom: 1001.3
ΔE_f in meV per atom: 904.8

Cell lengths 5.1096, 5.1096, 5.1096 Å; angles 90.00, 90.00, 90.00 degrees
Last column: nearest neighbours and their distance in Å.
Sites, in units of the cell vectors:
La  0.0000  0.0000  0.0000  6 Sc 2.55
Sc  0.0000  0.0000  0.5000  2 La 2.55
Sc  0.0000  0.5000  0.0000  2 La 2.55
Sc  0.5000  0.0000  0.0000  2 La 2.55
Au  0.5000  0.5000  0.5000  12 Sc 3.61



# LaScAu3

An optimized crystal structure of LaScAu3 (GGA-PBE, Alexandria).

Raw total energy in eV per atom: -4.5402
M_tot in μB/cell: 0.00
ΔE to the lowest computed polymorph in meV/atom: 0.0
ΔE_f in meV per atom: -322.0

Cell lengths 5.1047, 5.1047, 5.1047 Å; angles 90.00, 90.00, 90.00 degrees
Last column: nearest neighbours and their distance in Å.
Sites, in units of the cell vectors:
La  0.0000  0.0000  0.0000  12 Au 3.61
Sc  0.5000  0.5000  0.5000  6 Au 2.55
Au  0.0000  0.5000  0.5000  2 Sc 2.55
Au  0.5000  0.0000  0.5000  2 Sc 2.55
Au  0.5000  0.5000  0.0000  2 Sc 2.55



# La2ScAu

An optimized crystal structure of La2ScAu (GGA-PBE, Alexandria).

Raw total energy in eV per atom: -5.2382
M_tot in μB/cell: 0.00
ΔE to the lowest computed polymorph in meV/atom: 0.0
ΔE_f in meV per atom: -372.3

Cell lengths 6.5788, 6.5788, 5.4472 Å; angles 114.40, 114.40, 32.64 degrees
Last column: nearest neighbours and their distance in Å.
Sites, in units of the cell vectors:
La  0.0000  0.0000  0.0000  2 Au 3.31, 4 Sc 3.41, 4 La 3.62-3.70
La  0.2109  0.2109  0.7125  4 Au 3.31, 4 La 3.62-3.70, 2 Sc 3.64-3.65
Sc  0.4233  0.4233  0.4235  2 Au 2.78
Au  0.7410  0.7410  0.2435  2 Sc 2.78



# LaSc2Au

An optimized crystal structure of LaSc2Au (GGA-PBE, Alexandria).

Raw total energy in eV per atom: -5.5543
M_tot in μB/cell: 0.00
ΔE to the lowest computed polymorph in meV/atom: 34.2
ΔE_f in meV per atom: -337.3

Cell lengths 6.3747, 6.3747, 6.3747 Å; angles 148.11, 130.27, 60.30 degrees
Last column: nearest neighbours and their distance in Å.
Sites, in units of the cell vectors:
La  0.0000  0.0000  0.0000  4 Au 3.20, 2 La 3.50, 4 Sc 3.55
Sc  0.2884  0.7884  0.5000  2 Au 2.92
Sc  0.7116  0.2116  0.5000  2 Au 2.92
Au  0.5000  0.5000  0.0000  4 Sc 2.92, 4 La 3.20



# LaSc4Au

An optimized crystal structure of LaSc4Au (GGA-PBE, Alexandria).

Raw total energy in eV per atom: -5.4053
M_tot in μB/cell: 0.01
ΔE_f in meV per atom: 183.2

Cell lengths 5.9850, 5.9850, 5.9850 Å; angles 60.00, 60.00, 60.00 degrees
Last column: nearest neighbours and their distance in Å.
Sites, in units of the cell vectors:
La  0.0000  0.0000  0.0000  12 Sc 3.51, 4 Au 3.67
Sc  0.1252  0.6250  0.6250  6 Sc 2.99
Sc  0.6250  0.1252  0.6250  6 Sc 2.99
Sc  0.6250  0.6250  0.1252  6 Sc 2.99
Sc  0.6250  0.6250  0.6250  6 Sc 2.99
Au  0.2500  0.2500  0.2500  12 Sc 3.51, 4 La 3.67



# LaScAu2

An optimized crystal structure of LaScAu2 (GGA-PBE, Alexandria).

Raw total energy in eV per atom: -5.0815
M_tot in μB/cell: 0.00
ΔE_f in meV per atom: -628.0

Cell lengths 7.4648, 7.4648, 7.4648 Å; angles 32.13, 32.13, 32.13 degrees
Last column: nearest neighbours and their distance in Å.
Sites, in units of the cell vectors:
La  0.0000  0.0000  0.0000  6 Au 3.11-3.18
Sc  0.8278  0.8278  0.8278  6 Au 2.78-2.85
Au  0.2342  0.2342  0.2342  3 Sc 2.85, 3 La 3.18
Au  0.4272  0.4272  0.4272  3 Sc 2.78, 3 La 3.11